No. 1
Here is an optimized crystal structure of ZnCrIn3 from Alexandria. Energies are from PBE.

Its formation enthalpy at 0 K is 49.5 kJ per mole of atoms. The spin magnetization comes out at 2.92 Bohr magnetons per cell. Its energy above the most stable polymorph in this dataset is 0.0 kJ/mol of atoms.

The structure belongs to space group Pm-3m (No. 221); the cell edges are 5.231, 5.231 and 5.231 Å and the angles 90.00°, 90.00° and 90.00°. The asymmetric unit holds Zn at (0.000, 0.000, 0.000), Cr at (0.500, 0.500, 0.500) and In at (0.000, 0.500, 0.500).



No. 2
Here is an optimized crystal structure of ZnCrIn3 from Alexandria. Energies are from PBE.

Its formation enthalpy at 0 K is 64.0 kJ per mole of atoms. The spin magnetization comes out at 4.74 Bohr magnetons per cell. Its energy above the most stable polymorph in this dataset is 14.5 kJ/mol of atoms.

The structure belongs to space group Pm-3m (No. 221); the cell edges are 5.179, 5.179 and 5.179 Å and the angles 90.00°, 90.00° and 90.00°. The asymmetric unit holds Zn at (0.000, 0.000, 0.000), Cr at (0.500, 0.500, 0.500) and In at (0.000, 0.000, 0.500).



No. 3
Here is an optimized crystal structure of ZnCrIn from Alexandria. Energies are from PBE.

Its formation enthalpy at 0 K is 30.6 kJ per mole of atoms. The spin magnetization comes out at 6.89 Bohr magnetons per cell.

The structure belongs to space group I4mm (No. 107); the cell edges are 3.076, 3.076 and 11.335 Å and the angles 90.00°, 90.00° and 90.00°. The asymmetric unit holds Zn at (0.000, 0.000, 0.000), Cr at (0.000, 0.000, 0.640) and In at (0.000, 0.000, 0.313).



No. 4
Here is an optimized crystal structure of ZrZnCr2In from Alexandria. Energies are from PBE.

Its formation enthalpy at 0 K is 137.6 kJ per mole of atoms. The spin magnetization comes out at 5.69 Bohr magnetons per cell.

The structure belongs to space group P4/mmm (No. 123); the cell edges are 4.820, 4.820 and 5.592 Å and the angles 90.00°, 90.00° and 90.00°. The asymmetric unit holds Zr at (0.000, 0.000, 0.000), Zn at (0.500, 0.500, 0.500), Cr at (0.000, 0.500, 0.000) and In at (0.000, 0.000, 0.500).



No. 5
Here is an optimized crystal structure of Zr2CrIn from Alexandria. Energies are from PBE.

Its formation enthalpy at 0 K is 4.5 kJ per mole of atoms. The spin magnetization comes out at 4.77 Bohr magnetons per cell.

The structure belongs to space group I-4m2 (No. 119); the cell edges are 4.211, 4.211 and 9.260 Å and the angles 90.00°, 90.00° and 90.00°. The asymmetric unit holds Zr at (0.000, 0.000, 0.000), Zr at (0.000, 0.500, 0.250), Cr at (0.000, 0.500, 0.750) and In at (0.000, 0.000, 0.500).



No. 6
Here is an optimized crystal structure of ZrCrIn2 from Alexandria. Energies are from PBE.

Its formation enthalpy at 0 K is 150.7 kJ per mole of atoms. The spin magnetization comes out at 0.00 Bohr magnetons per cell. Its energy above the most stable polymorph in this dataset is 148.8 kJ/mol of atoms.

The structure belongs to space group I-42d (No. 122); the cell edges are 6.273, 6.273 and 12.234 Å and the angles 90.00°, 90.00° and 90.00°. The asymmetric unit holds Zr at (0.000, 0.000, 0.000), Cr at (0.000, 0.000, 0.500) and In at (0.199, 0.250, 0.625).



No. 7
Here is an optimized crystal structure of ZrCr2In from Alexandria. Energies are from PBE.

Its formation enthalpy at 0 K is 27.5 kJ per mole of atoms. The spin magnetization comes out at 10.46 Bohr magnetons per cell.

The structure belongs to space group I-4m2 (No. 119); the cell edges are 4.000, 4.000 and 9.028 Å and the angles 90.00°, 90.00° and 90.00°. The asymmetric unit holds Zr at (0.000, 0.000, 0.000), Cr at (0.000, 0.000, 0.500), Cr at (0.000, 0.500, 0.750) and In at (0.000, 0.500, 0.250).



No. 8
Here is an optimized crystal structure of Zr2CrIn from Alexandria. Energies are from PBE.

Its formation enthalpy at 0 K is 21.9 kJ per mole of atoms. The spin magnetization comes out at 9.27 Bohr magnetons per cell.

The structure belongs to space group R3m (No. 160, hexagonal axes); the cell edges are 3.1865, 3.1865 and 29.1150 Å and the angles 90.00°, 90.00° and 120.00°. The asymmetric unit holds Zr at (0.0000, 0.0000, 0.0000), Zr at (0.0000, 0.0000, 0.2444), Cr at (0.0000, 0.0000, 0.5020) and In at (0.0000, 0.0000, 0.7564).